[1]
A plane-wave DFT calculation with PBE was carried out for a geometry-optimized EuNi4B structure.

Geometry as POSCAR:
```
EuNi4B
1.0
5.0816 0.0000 0.0000
-2.5408 4.4008 0.0000
0.0000 0.0000 6.9176
Ni Eu B
8 2 2
direct
0.5000 0.5000 0.7948
0.3333 0.6667 0.5000
0.0000 0.5000 0.2052
0.5000 0.5000 0.2052
0.6667 0.3333 0.5000
0.5000 0.0000 0.7948
0.0000 0.5000 0.7948
0.5000 0.0000 0.2052
0.0000 0.0000 0.5000
0.0000 0.0000 0.0000
0.3333 0.6667 0.0000
0.6667 0.3333 0.0000
```

Computed properties:
**Symmetry**: P6/mmm, No. 191
**Electronic total energy**: -6.985 eV/atom
**D(E_F)**: 29.39 states/eV/cell
**Crystal system**: hexagonal
**DFT formation energy**: -1.83 eV/f.u.
**Magnetization**: 13.254 μB/cell

***

[2]
A plane-wave DFT calculation with PBE was carried out for a geometry-optimized LaSc3Ga4 structure.

Geometry as POSCAR:
```
LaSc3Ga4
1.0
-3.9987 -2.9664 0.8902
2.7337 -1.9284 5.8540
-4.5203 7.4646 4.5698
Ga La Sc
8 2 6
direct
0.0875 0.7780 0.7500
0.9125 0.7780 0.2500
0.5000 0.7791 0.5000
0.5000 0.7791 0.0000
0.9125 0.2220 0.2500
0.0875 0.2220 0.7500
0.5000 0.2209 0.0000
0.5000 0.2209 0.5000
0.0000 0.5000 0.5000
0.0000 0.5000 0.0000
0.4130 0.0000 0.2500
0.0000 0.0000 0.5000
0.0000 0.0000 0.0000
0.4509 0.5000 0.2500
0.5870 0.0000 0.7500
0.5491 0.5000 0.7500
```

Computed properties:
**Symmetry**: Pmma, No. 51
**Electronic total energy**: -5.051 eV/atom
**D(E_F)**: 8.42 states/eV/cell
**Crystal system**: orthorhombic
**DFT formation energy**: -4.38 eV/f.u.
**Magnetization**: 0.000 μB/cell

***

[3]
A plane-wave DFT calculation with PBE was carried out for a geometry-optimized TiAgPN2 structure.

Geometry as POSCAR:
```
TiAgPN2
1.0
-2.4039 -0.5631 -2.8749
2.9253 -0.2603 -2.3950
0.2583 -6.0967 0.9781
Ag N Ti P
1 2 1 1
direct
0.0000 0.0000 0.5000
0.0000 0.5000 0.0000
0.5000 0.0000 0.0000
0.0000 0.0000 0.0000
0.5000 0.5000 0.5000
```

Computed properties:
**Symmetry**: P4/mmm, No. 123
**Electronic total energy**: -5.755 eV/atom
**D(E_F)**: 3.59 states/eV/cell
**Crystal system**: tetragonal
**Magnetization**: 0.854 μB/cell

***

[4]
A plane-wave DFT calculation with PBE was carried out for a geometry-optimized TiSb3H structure.

Geometry as POSCAR:
```
TiSb3H
1.0
5.1867 0.0000 0.0000
0.0000 5.1867 0.0000
0.0000 0.0000 5.1867
Sb H Ti
3 1 1
direct
0.0000 0.5000 0.0000
0.0000 0.0000 0.5000
0.5000 0.0000 0.0000
0.5000 0.5000 0.5000
0.0000 0.0000 0.0000
```

Computed properties:
**Symmetry**: Pm-3m, No. 221
**Electronic total energy**: -4.184 eV/atom
**D(E_F)**: 1.74 states/eV/cell
**Crystal system**: cubic
**Magnetization**: 0.000 μB/cell
**ΔE to the lowest computed polymorph**: 82 meV per atom

***

[5]
A plane-wave DFT calculation with PBE was carried out for a geometry-optimized GaCuPt structure.

Geometry as POSCAR:
```
GaCuPt
1.0
-0.8424 2.9489 -2.2066
-2.8137 -0.4732 0.4418
0.1897 4.8158 6.3627
Ga Pt Cu
2 2 2
direct
0.7500 0.2500 0.1039
0.2500 0.7500 0.8961
0.7500 0.2500 0.7627
0.2500 0.7500 0.2373
0.7500 0.2500 0.4316
0.2500 0.7500 0.5684
```

Computed properties:
**Symmetry**: Pmmn, No. 59
**Electronic total energy**: -4.709 eV/atom
**D(E_F)**: 3.22 states/eV/cell
**Crystal system**: orthorhombic
**DFT formation energy**: -0.96 eV/f.u.
**Magnetization**: 0.000 μB/cell
**ΔE to the lowest computed polymorph**: 39 meV per atom

***

[6]
A plane-wave DFT calculation with PBE was carried out for a geometry-optimized MgCo2Cl structure.

Geometry as POSCAR:
```
MgCo2Cl
1.0
3.0203 0.0000 0.0000
0.0000 3.0532 0.0350
0.0000 1.4825 6.8185
Mg Co Cl
1 2 1
direct
0.0000 0.5686 0.4831
0.0000 0.7781 0.0726
0.5000 0.2013 0.2223
0.5000 0.9520 0.7219
```

Computed properties:
**Symmetry**: Pm, No. 6
**Electronic total energy**: -4.485 eV/atom
**D(E_F)**: 3.02 states/eV/cell
**Crystal system**: monoclinic
**Magnetization**: 3.253 μB/cell
**ΔE to the lowest computed polymorph**: 0 meV per atom

***

[7]
A plane-wave DFT calculation with PBE was carried out for a geometry-optimized Li3CaGa8 structure.

Geometry as POSCAR:
```
Li3CaGa8
1.0
-2.8126 -0.9620 -4.6050
5.4761 0.1997 -0.1244
0.3520 -8.6601 1.5941
Ga Li Ca
8 3 1
direct
0.3333 0.6667 0.4951
0.6776 0.8388 0.2450
0.3333 0.6667 0.0067
0.1612 0.8388 0.2450
0.5049 0.0099 0.7577
0.9901 0.4951 0.7577
0.1612 0.3224 0.2450
0.5049 0.4951 0.7577
0.6667 0.3333 0.4104
0.6667 0.3333 0.0673
0.0000 0.0000 0.9457
0.0000 0.0000 0.5668
```

Computed properties:
**Symmetry**: P3m1, No. 156
**Electronic total energy**: -2.938 eV/atom
**D(E_F)**: 3.89 states/eV/cell
**Crystal system**: trigonal
**DFT formation energy**: -3.30 eV/f.u.
**Magnetization**: 0.000 μB/cell

***

[8]
A plane-wave DFT calculation with PBE was carried out for a geometry-optimized NbC2Br structure.

Geometry as POSCAR:
```
NbC2Br
1.0
0.0000 2.9124 2.9124
2.9124 0.0000 2.9124
2.9124 2.9124 0.0000
Br C Nb
1 2 1
direct
0.0000 0.0000 0.0000
0.2500 0.2500 0.2500
0.7500 0.7500 0.7500
0.5000 0.5000 0.5000
```

Computed properties:
**Symmetry**: Fm-3m, No. 225
**Electronic total energy**: -5.228 eV/atom
**D(E_F)**: 2.52 states/eV/cell
**Crystal system**: cubic
**Magnetization**: 0.000 μB/cell
**ΔE to the lowest computed polymorph**: 823 meV per atom

***

The highest D(E_F) belongs to which entry?
EuNi4B